# 1
The following is a PBE-GGA calculation of a relaxed MgNpInBr6 crystal, from Alexandria via LeMat-Bulk.

Properties
Formation energy from raw total energies   -117 kJ/mol of atoms
Calculated total energy   -4.2476 eV per atom

a = 7.3018 Å, b = 7.3018 Å, c = 14.2900 Å
α = 90.00°, β = 90.00°, γ = 120.00°
Space group P-31c (No. 163)
Inequivalent atoms, fractional coordinates:
Mg (0.3333, 0.6667, 0.2500) (multiplicity 2)
Np (0.3333, 0.6667, 0.7500) (multiplicity 2)
In (0.0000, 0.0000, 0.0000) (multiplicity 2)
Br (0.0196, 0.3783, 0.1391) (multiplicity 12)

# 2
The following is a PBE-GGA calculation of a relaxed MgIn2PbBr6 crystal, from Alexandria via LeMat-Bulk.

Properties
Formation energy from raw total energies   -91 kJ/mol of atoms
Calculated total energy   -3.0266 eV per atom

a = 7.8597 Å, b = 7.8597 Å, c = 19.6318 Å
α = 90.00°, β = 90.00°, γ = 120.00°
Space group R3 (No. 146, hexagonal axes)
Inequivalent atoms, fractional coordinates:
Mg (0.0000, 0.0000, 0.0000) (multiplicity 3)
In (0.0000, 0.0000, 0.2892) (multiplicity 3)
In (0.0000, 0.0000, 0.7848) (multiplicity 3)
Pb (0.0000, 0.0000, 0.5024) (multiplicity 3)
Br (0.0125, 0.4232, 0.7396) (multiplicity 9)
Br (0.0932, 0.7287, 0.5813) (multiplicity 9)

# 3
The following is a PBE-GGA calculation of a relaxed Mg2InPdBr crystal, from Alexandria via LeMat-Bulk.

Properties
Formation energy from raw total energies   21 kJ/mol of atoms
Calculated total energy   -2.3358 eV per atom

a = 5.1652 Å, b = 5.1652 Å, c = 4.9137 Å
α = 90.00°, β = 90.00°, γ = 90.00°
Space group P4/mmm (No. 123)
Inequivalent atoms, fractional coordinates:
Mg (0.0000, 0.5000, 0.0000) (multiplicity 2)
In (0.0000, 0.0000, 0.5000) (multiplicity 1)
Pd (0.5000, 0.5000, 0.5000) (multiplicity 1)
Br (0.5000, 0.5000, 0.0000) (multiplicity 1)

# 4
The following is a PBE-GGA calculation of a relaxed Rb2MgInBr5 crystal, from Alexandria via LeMat-Bulk.

Properties
Formation energy from raw total energies   -132 kJ/mol of atoms
Calculated total energy   -2.9960 eV per atom

a = 4.3240 Å, b = 19.6123 Å, c = 15.9232 Å
α = 90.00°, β = 90.00°, γ = 90.00°
Space group Cmc2_1 (No. 36)
Inequivalent atoms, fractional coordinates:
Rb (0.0000, 0.0762, 0.0000) (multiplicity 4)
Rb (0.0000, 0.1449, 0.6558) (multiplicity 4)
Mg (0.0000, 0.2307, 0.3928) (multiplicity 4)
In (0.0000, 0.4527, 0.8096) (multiplicity 4)
Br (0.0000, 0.1020, 0.4383) (multiplicity 4)
Br (0.0000, 0.2494, 0.0071) (multiplicity 4)
Br (0.0000, 0.2974, 0.7806) (multiplicity 4)
Br (0.0000, 0.3581, 0.3444) (multiplicity 4)
Br (0.0000, 0.4941, 0.1263) (multiplicity 4)

# 5
The following is a PBE-GGA calculation of a relaxed Rb2MgInBr6 crystal, from Alexandria via LeMat-Bulk.

Properties
Formation energy from raw total energies   -128 kJ/mol of atoms
Calculated total energy   -2.9554 eV per atom

a = 11.1514 Å, b = 11.1514 Å, c = 11.1514 Å
α = 90.00°, β = 90.00°, γ = 90.00°
Space group Fm-3m (No. 225)
Inequivalent atoms, fractional coordinates:
Rb (0.2500, 0.2500, 0.2500) (multiplicity 8)
Mg (0.0000, 0.0000, 0.0000) (multiplicity 4)
In (0.0000, 0.0000, 0.5000) (multiplicity 4)
Br (0.0000, 0.0000, 0.2419) (multiplicity 24)

# 6
The following is a PBE-GGA calculation of a relaxed Rb2MgInBr crystal, from Alexandria via LeMat-Bulk.

Properties
Formation energy from raw total energies   -22 kJ/mol of atoms
Calculated total energy   -1.8121 eV per atom

a = 6.4338 Å, b = 6.4338 Å, c = 6.3382 Å
α = 90.00°, β = 90.00°, γ = 90.00°
Space group P4/mmm (No. 123)
Inequivalent atoms, fractional coordinates:
Rb (0.0000, 0.5000, 0.0000) (multiplicity 2)
Mg (0.0000, 0.0000, 0.5000) (multiplicity 1)
In (0.5000, 0.5000, 0.5000) (multiplicity 1)
Br (0.5000, 0.5000, 0.0000) (multiplicity 1)

# 7
The following is a PBE-GGA calculation of a relaxed Rb3MgIn3Br8 crystal, from Alexandria via LeMat-Bulk.

Properties
Formation energy from raw total energies   -120 kJ/mol of atoms
Calculated total energy   -2.9837 eV per atom

a = 9.6453 Å, b = 9.6453 Å, c = 22.8532 Å
α = 90.00°, β = 90.00°, γ = 120.00°
Space group R-3m (No. 166, hexagonal axes)
Inequivalent atoms, fractional coordinates:
Rb (0.0000, 0.5000, 0.0000) (multiplicity 9)
Mg (0.0000, 0.0000, 0.0000) (multiplicity 3)
In (0.0000, 0.5000, 0.5000) (multiplicity 9)
Br (0.0000, 0.0000, 0.2469) (multiplicity 6)
Br (0.0651, 0.5325, 0.7369) (multiplicity 18)

# 8
The following is a PBE-GGA calculation of a relaxed RbMgInBr6 crystal, from Alexandria via LeMat-Bulk.

Properties
Formation energy from raw total energies   -121 kJ/mol of atoms
Calculated total energy   -2.9633 eV per atom

a = 7.0308 Å, b = 7.0308 Å, c = 15.5420 Å
α = 90.00°, β = 90.00°, γ = 120.00°
Space group P-31c (No. 163)
Inequivalent atoms, fractional coordinates:
Rb (0.0000, 0.0000, 0.0000) (multiplicity 2)
Mg (0.3333, 0.6667, 0.2500) (multiplicity 2)
In (0.3333, 0.6667, 0.7500) (multiplicity 2)
Br (0.0025, 0.3736, 0.1493) (multiplicity 12)

# 9
The following is a PBE-GGA calculation of a relaxed RbMg2InBr8 crystal, from Alexandria via LeMat-Bulk.

Properties
Formation energy from raw total energies   -113 kJ/mol of atoms
Calculated total energy   -2.8562 eV per atom

a = 6.5127 Å, b = 6.8203 Å, c = 8.5920 Å
α = 89.45°, β = 89.31°, γ = 87.89°
Space group P-1 (No. 2)
Inequivalent atoms, fractional coordinates:
Rb (0.0000, 0.0000, 0.0000) (multiplicity 1)
Mg (0.4977, 0.4989, 0.2516) (multiplicity 2)
In (0.0000, 0.0000, 0.5000) (multiplicity 1)
Br (0.2555, 0.8327, 0.7121) (multiplicity 2)
Br (0.2604, 0.3434, 0.4995) (multiplicity 2)
Br (0.2608, 0.8372, 0.2860) (multiplicity 2)
Br (0.2833, 0.3806, 0.0006) (multiplicity 2)

# 10
The following is a PBE-GGA calculation of a relaxed Rb2Mg2InBr7 crystal, from Alexandria via LeMat-Bulk.

Properties
Formation energy from raw total energies   -135 kJ/mol of atoms
Calculated total energy   -3.0351 eV per atom

a = 5.3718 Å, b = 5.3718 Å, c = 27.6718 Å
α = 90.00°, β = 90.00°, γ = 90.00°
Space group I4/mmm (No. 139)
Inequivalent atoms, fractional coordinates:
Rb (0.0000, 0.0000, 0.1804) (multiplicity 4)
Mg (0.0000, 0.0000, 0.4015) (multiplicity 4)
In (0.0000, 0.0000, 0.0000) (multiplicity 2)
Br (0.0000, 0.0000, 0.3063) (multiplicity 4)
Br (0.0000, 0.0000, 0.5000) (multiplicity 2)
Br (0.0000, 0.5000, 0.0934) (multiplicity 8)